Compound: Be3PdC
Source: the Alexandria database
Functional: GGA-PBE
Structure: optimized geometry

Electronic total energy ... -5.05 eV per atom
Polymorph energy (0 for the lowest one) ... 0 kJ/mol of formula units

Cell lengths 3.6060, 3.6060, 3.6060 Å; angles 90.00, 90.00, 90.00 degrees
Fractional positions:
C  0.0000  0.0000  0.0000
Be  0.5000  0.0000  0.0000
Be  0.0000  0.0000  0.5000
Be  0.0000  0.5000  0.0000
Pd  0.5000  0.5000  0.5000

Compound: BePd2C
Source: the Alexandria database
Functional: GGA-PBE
Structure: optimized geometry

Electronic total energy ... -5.07 eV per atom
Polymorph energy (0 for the lowest one) ... 34 kJ/mol of formula units

Cell lengths 3.9901, 3.9901, 3.9901 Å; angles 60.00, 60.00, 60.00 degrees
Fractional positions:
Be  0.0000  0.0000  0.0000
Pd  0.7500  0.7500  0.7500
Pd  0.2500  0.2500  0.2500
C  0.5000  0.5000  0.5000

Compound: Be3PdC
Source: the Alexandria database
Functional: GGA-PBE
Structure: optimized geometry

Electronic total energy ... -3.49 eV per atom
Polymorph energy (0 for the lowest one) ... 753 kJ/mol of formula units

Cell lengths 4.1527, 4.1527, 4.1527 Å; angles 90.00, 90.00, 90.00 degrees
Fractional positions:
Be  0.0000  0.0000  0.5000
Be  0.5000  0.0000  0.0000
C  0.5000  0.5000  0.5000
Be  0.0000  0.5000  0.0000
Pd  0.0000  0.0000  0.0000

Compound: BePd3C
Source: the Alexandria database
Functional: GGA-PBE
Structure: optimized geometry

Electronic total energy ... -5.42 eV per atom
Polymorph energy (0 for the lowest one) ... 0 kJ/mol of formula units

Cell lengths 4.0773, 4.0773, 4.0773 Å; angles 90.00, 90.00, 90.00 degrees
Fractional positions:
Be  0.5000  0.5000  0.5000
C  0.0000  0.0000  0.0000
Pd  0.0000  0.0000  0.5000
Pd  0.0000  0.5000  0.0000
Pd  0.5000  0.0000  0.0000

Compound: Ti2BePdC
Source: the Alexandria database
Functional: GGA-PBE
Structure: optimized geometry

Electronic total energy ... -7.26 eV per atom

Cell lengths 4.2541, 4.2541, 3.4667 Å; angles 90.00, 90.00, 90.00 degrees
Fractional positions:
Be  0.0000  0.0000  0.5000
Ti  0.5000  0.0000  0.0000
Ti  0.0000  0.5000  0.0000
C  0.0000  0.0000  0.0000
Pd  0.5000  0.5000  0.5000

Compound: Y2BePdC
Source: the Alexandria database
Functional: GGA-PBE
Structure: optimized geometry

Electronic total energy ... -6.68 eV per atom

Cell lengths 5.0017, 5.0017, 3.4823 Å; angles 90.00, 90.00, 90.00 degrees
Fractional positions:
Pd  0.5000  0.5000  0.5000
Be  0.0000  0.0000  0.5000
C  0.0000  0.0000  0.0000
Y  0.0000  0.5000  0.0000
Y  0.5000  0.0000  0.0000

We obtain energy of formation from the pure elements values of 65.9 763.4 1625.9 286.7 -472.8 -470.1 meV per atom for the records listed above, in that order.
We obtain DOS at the Fermi energy values of 1.85 4.22 1.67 4.46 2.39 3.73 states/eV/cell for the records listed above, in that order.
We obtain calculated volume values of 9.378 11.230 14.323 13.556 12.548 17.423 Å³ per atom for the records listed above, in that order.